1.
This record from Alexandria via LeMat-Bulk describes an optimized crystal structure of Ce3Cl8. The functional is GGA-PBE.

Values from the calculation:
DOS(E_F) = 26.41 states/eV per cell
uncorrected formation energy = -2.15 eV/atom
symmetry = Pm-3m (221)

Cell lengths 6.8615, 6.8615, 6.8615 Å; angles 90.00, 90.00, 90.00 degrees
Last column: nearest neighbours and their distance in Å.
Positions (direct):
Ce 0.0000 0.5000 0.5000  8 Cl 2.95-2.96
Ce 0.5000 0.0000 0.5000  8 Cl 2.95-2.96
Ce 0.5000 0.5000 0.0000  8 Cl 2.95-2.96
Cl 0.7461 0.2536 0.7460  3 Ce 2.95-2.96
Cl 0.7460 0.7461 0.2536  3 Ce 2.95-2.96
Cl 0.2536 0.7460 0.7461  3 Ce 2.95-2.96
Cl 0.7461 0.7461 0.7461  3 Ce 2.96
Cl 0.2539 0.2539 0.2539  3 Ce 2.96
Cl 0.7464 0.2540 0.2539  3 Ce 2.95-2.96
Cl 0.2540 0.2539 0.7464  3 Ce 2.95-2.96
Cl 0.2539 0.7464 0.2540  3 Ce 2.95-2.96

***

2.
This record from Alexandria via LeMat-Bulk describes an optimized crystal structure of CeTh3Co. The functional is GGA-PBE.

Values from the calculation:
DOS(E_F) = 12.15 states/eV per cell
formation energy from the elements = 30 kJ/mol of formula units
ΔE to the lowest computed polymorph = 0.114 eV/atom
symmetry = Pm-3m (221)

Cell lengths 5.3339, 5.3339, 5.3339 Å; angles 90.00, 90.00, 90.00 degrees
Last column: nearest neighbours and their distance in Å.
Positions (direct):
Co 0.0000 0.0000 0.0000  6 Th 2.67
Ce 0.5000 0.5000 0.5000  12 Th 3.77
Th 0.0000 0.5000 0.0000  2 Co 2.67
Th 0.0000 0.0000 0.5000  2 Co 2.67
Th 0.5000 0.0000 0.0000  2 Co 2.67

***

3.
This record from Alexandria via LeMat-Bulk describes an optimized crystal structure of RbVAg2C. The functional is GGA-PBE.

Values from the calculation:
DOS(E_F) = 9.95 states/eV per cell
formation energy from the elements = 1637 kJ/mol of formula units
symmetry = P4/mmm (123)

Cell lengths 5.6699, 5.3867, 5.6699 Å; angles 90.00, 90.00, 90.00 degrees
Last column: nearest neighbours and their distance in Å.
Positions (direct):
C 0.5000 0.5000 0.5000  8 Ag 3.91, 4 V 4.01
Rb 0.0000 0.0000 0.0000  2 V 2.69, 4 Ag 2.83
Ag 0.0000 0.0000 0.5000  2 Rb 2.83
Ag 0.5000 0.0000 0.0000  2 Rb 2.83
V 0.0000 0.5000 0.0000  2 Rb 2.69

***

4.
This record from Alexandria via LeMat-Bulk describes an optimized crystal structure of K2SbOs. The functional is GGA-PBE.

Values from the calculation:
DOS(E_F) = 3.91 states/eV per cell
uncorrected formation energy = 0.82 eV/atom
symmetry = Cmmm (65)

Cell lengths 6.6343, 6.3324, 2.9396 Å; angles 89.98, 63.74, 114.91 degrees
Last column: nearest neighbours and their distance in Å.
Positions (direct):
K 0.0000 0.0000 0.0000  4 K 2.94-2.97
K 0.5000 0.0000 0.5000  4 K 2.94-2.97
Os 0.0000 0.5000 0.5000  2 Os 2.94, 2 Sb 2.97
Sb 0.5000 0.5000 0.0000  2 Sb 2.94, 2 Os 2.97

***

5.
This record from Alexandria via LeMat-Bulk describes an optimized crystal structure of Sn2Ge2Rh7. The functional is GGA-PBE.

Values from the calculation:
DOS(E_F) = 12.00 states/eV per cell
formation energy from the elements = -197 kJ/mol of formula units
symmetry = Cmmm (65)

Cell lengths 5.8626, 5.7273, 5.8626 Å; angles 89.97, 97.88, 90.03 degrees
Last column: nearest neighbours and their distance in Å.
Positions (direct):
Sn 0.7948 0.5000 0.7948  6 Rh 2.65-2.67
Sn 0.2052 0.5000 0.2052  6 Rh 2.65-2.67
Ge 0.7199 0.0002 0.2801  7 Rh 2.42-2.48
Ge 0.2801 0.9998 0.7199  7 Rh 2.42-2.48
Rh 0.0001 0.2522 0.5002  2 Ge 2.42, 2 Sn 2.65
Rh 0.5002 0.7478 0.0001  2 Ge 2.42, 2 Sn 2.65
Rh 0.9999 0.7478 0.4998  2 Ge 2.42, 2 Sn 2.65
Rh 0.4998 0.2522 0.9999  2 Ge 2.42, 2 Sn 2.65
Rh 0.0000 0.0000 0.0000  2 Ge 2.48
Rh 0.5000 0.7449 0.5000  2 Ge 2.43, 2 Sn 2.67
Rh 0.5000 0.2551 0.5000  2 Ge 2.43, 2 Sn 2.67

***

6.
This record from Alexandria via LeMat-Bulk describes an optimized crystal structure of Cs4ErTm3Te8. The functional is GGA-PBE.

Values from the calculation:
uncorrected formation energy = -1.36 eV/atom
symmetry = R-3m (166)

Cell lengths 9.0294, 10.3202, 9.0285 Å; angles 115.94, 120.00, 90.00 degrees
Last column: nearest neighbours and their distance in Å.
Positions (direct):
Cs 0.5000 0.0000 0.0000  6 Te 3.81
Cs 0.5000 0.0000 0.5000  6 Te 3.81
Cs 0.0000 0.0000 0.0000  6 Te 3.81
Cs 0.0000 0.0000 0.5000  6 Te 3.81
Er 0.0000 0.5000 0.0000  6 Te 3.10
Tm 0.5000 0.5000 0.0000  6 Te 3.09
Tm 0.5000 0.5000 0.5000  6 Te 3.09
Tm 0.0000 0.5000 0.5000  6 Te 3.09
Te 0.2296 0.6876 0.9580  2 Tm 3.09, 1 Er 3.10
Te 0.2296 0.6876 0.4593  2 Tm 3.09, 1 Er 3.10
Te 0.2709 0.3127 0.5418  3 Tm 3.09
Te 0.7284 0.6876 0.9580  2 Tm 3.09, 1 Er 3.10
Te 0.2716 0.3124 0.0420  2 Tm 3.09, 1 Er 3.10
Te 0.7291 0.6873 0.4582  3 Tm 3.09
Te 0.7704 0.3124 0.5407  2 Tm 3.09, 1 Er 3.10
Te 0.7704 0.3124 0.0420  2 Tm 3.09, 1 Er 3.10

***

| no. | ρ (kg/m³) |
| --- | --- |
| 1 | 3619 |
| 2 | 9795 |
| 3 | 3492 |
| 4 | 6627 |
| 5 | 9394 |
| 6 | 5880 |